Crystalline CrGaAuBr2 at its relaxed geometry. Source: Alexandria, functional GGA-PBE.

abc: 5.0930 5.3238 5.0930
angles: 90.00 90.00 90.00
Each line ends with the local moment (μB).
Sites, in units of the cell vectors:
Cr 0.0000 0.0000 0.0000  3.59
Au 0.0000 0.5000 0.0000  0.04
Ga 0.5000 0.5000 0.5000  0.00
Br 0.0000 0.0000 0.5000  0.00
Br 0.5000 0.0000 0.0000  -0.01

space group: P4/mmm


Crystalline CrAuI2Br at its relaxed geometry. Source: Alexandria, functional GGA-PBE.

abc: 5.3529 5.3003 5.3529
angles: 90.00 90.00 90.00
Each line ends with the local moment (μB).
Sites, in units of the cell vectors:
I 0.0000 0.0000 0.5000  -0.18
I 0.5000 0.0000 0.0000  -0.19
Cr 0.0000 0.0000 0.0000  3.24
Au 0.0000 0.5000 0.0000  0.00
Br 0.5000 0.5000 0.5000  -0.37

space group: P4/mmm


Crystalline NbCrAuBr2 at its relaxed geometry. Source: Alexandria, functional GGA-PBE.

abc: 4.7236 4.9545 4.7236
angles: 90.00 90.00 90.00
Each line ends with the local moment (μB).
Sites, in units of the cell vectors:
Cr 0.0000 0.0000 0.0000  0.05
Nb 0.0000 0.5000 0.0000  1.10
Au 0.5000 0.5000 0.5000  -0.02
Br 0.0000 0.0000 0.5000  0.01
Br 0.5000 0.0000 0.0000  0.02

space group: P4/mmm


Crystalline Cr2PAuBr at its relaxed geometry. Source: Alexandria, functional GGA-PBE.

abc: 4.7255 4.9836 4.7255
angles: 90.00 90.00 90.00
Each line ends with the local moment (μB).
Sites, in units of the cell vectors:
Cr 0.0000 0.0000 0.5000  3.78
Cr 0.5000 0.0000 0.0000  3.54
Au 0.5000 0.5000 0.5000  -0.06
Br 0.0000 0.5000 0.0000  0.07
P 0.0000 0.0000 0.0000  -0.17

space group: P4/mmm


Crystalline Rb2CrAuBr6 at its relaxed geometry. Source: Alexandria, functional GGA-PBE.

abc: 7.5154 7.5154 7.6872
angles: 60.74 60.74 90.00
Each line ends with the local moment (μB).
Sites, in units of the cell vectors:
Cr 0.5000 0.5000 0.0000  3.07
Au 0.0000 0.0000 0.0000  -0.09
Br 0.2718 0.2718 0.4565  -0.03
Br 0.7282 0.7282 0.5435  -0.03
Br 0.2574 0.2574 0.0000  -0.03
Br 0.7426 0.7426 0.0000  -0.03
Br 0.7426 0.2574 0.0000  -0.03
Br 0.2574 0.7426 0.0000  -0.03
Rb 0.7500 0.2500 0.5000  0.00
Rb 0.2500 0.7500 0.5000  0.00

space group: I4/mmm


Crystalline CrRu2AuBr at its relaxed geometry. Source: Alexandria, functional GGA-PBE.

abc: 4.5150 4.9081 4.5150
angles: 90.00 90.00 90.00
Each line ends with the local moment (μB).
Sites, in units of the cell vectors:
Ru 0.0000 0.0000 0.5000  0.29
Ru 0.5000 0.0000 0.0000  0.58
Au 0.0000 0.5000 0.0000  0.00
Br 0.0000 0.0000 0.0000  0.01
Cr 0.5000 0.5000 0.5000  0.41

space group: P4/mmm


Crystalline CrSb2AuBr at its relaxed geometry. Source: Alexandria, functional GGA-PBE.

abc: 5.1529 4.8733 5.1529
angles: 90.00 90.00 90.00
Each line ends with the local moment (μB).
Sites, in units of the cell vectors:
Sb 0.0000 0.0000 0.5000  -0.13
Sb 0.5000 0.0000 0.0000  -0.16
Au 0.5000 0.5000 0.5000  -0.02
Br 0.0000 0.5000 0.0000  0.03
Cr 0.0000 0.0000 0.0000  2.42

space group: P4/mmm


Crystalline CrSbAu2Br at its relaxed geometry. Source: Alexandria, functional GGA-PBE.

abc: 5.1854 4.7868 5.1854
angles: 90.00 90.00 90.00
Each line ends with the local moment (μB).
Sites, in units of the cell vectors:
Sb 0.5000 0.5000 0.5000  -0.15
Au 0.0000 0.0000 0.5000  0.01
Au 0.5000 0.0000 0.0000  -0.03
Br 0.0000 0.0000 0.0000  -0.02
Cr 0.0000 0.5000 0.0000  3.91

space group: P4/mmm


Crystalline CrAuSe2Br at its relaxed geometry. Source: Alexandria, functional GGA-PBE.

abc: 4.5871 4.5871 5.4246
angles: 90.00 90.00 90.00
Sites, in units of the cell vectors:
Cr 0.0000 0.0000 0.0000
Au 0.5000 0.5000 0.5000
Se 0.0000 0.5000 0.0000
Se 0.5000 0.0000 0.0000
Br 0.0000 0.0000 0.5000

excess energy over the best structure of this formula in the dataset: 0 meV per atom
space group: P4/mmm


Crystalline CrAu2SeBr at its relaxed geometry. Source: Alexandria, functional GGA-PBE.

abc: 4.9417 5.7452 4.9417
angles: 90.00 90.00 90.00
Each line ends with the local moment (μB).
Sites, in units of the cell vectors:
Cr 0.5000 0.5000 0.5000  4.33
Au 0.0000 0.0000 0.5000  -0.02
Au 0.5000 0.0000 0.0000  0.02
Se 0.0000 0.0000 0.0000  0.01
Br 0.0000 0.5000 0.0000  -0.01

space group: P4/mmm


Crystalline Cr2AuSeBr at its relaxed geometry. Source: Alexandria, functional GGA-PBE.

abc: 4.9246 5.3420 4.9246
angles: 90.00 90.00 90.00
Each line ends with the local moment (μB).
Sites, in units of the cell vectors:
Cr 0.0000 0.0000 0.5000  4.03
Cr 0.5000 0.0000 0.0000  3.90
Au 0.5000 0.5000 0.5000  -0.06
Se 0.0000 0.0000 0.0000  -0.11
Br 0.0000 0.5000 0.0000  0.03

space group: P4/mmm


Crystalline Ta2CrAuBr at its relaxed geometry. Source: Alexandria, functional GGA-PBE.

abc: 4.7047 4.9715 4.7047
angles: 90.00 90.00 90.00
Each line ends with the local moment (μB).
Sites, in units of the cell vectors:
Cr 0.5000 0.5000 0.5000  3.76
Au 0.0000 0.5000 0.0000  0.02
Br 0.0000 0.0000 0.0000  0.02
Ta 0.0000 0.0000 0.5000  -0.18
Ta 0.5000 0.0000 0.0000  -0.22

space group: P4/mmm


Energy relative to the elements, uncorrected, record by record: -6; 36; 80; 62; -93; 192; 41; 84; 36; 65; 69; 160 kJ per mole of atoms
Volume, record by record: 138.1; 151.9; 110.5; 111.3; 313.7; 100.1; 129.4; 128.7; 114.1; 140.3; 129.6; 110.0 Å³ per cell